Entry 1:
Density functional theory data (PBE) for a relaxed Hf2CrPdN crystal.

extended XYZ file:
```
5
Lattice="4.4752 0.0000 0.0000 0.0000 4.4752 0.0000 0.0000 0.0000 3.7280" Properties=species:S:1:pos:R:3 pbc="T T T"
Pd 2.2376 2.2376 1.8640
Hf 2.2376 0.0000 0.0000
Cr 0.0000 0.0000 1.8640
Hf 0.0000 2.2376 0.0000
N 0.0000 0.0000 0.0000
```

Results
total energy	-9.46	eV/atom
E_form (uncorrected)	-0.8491	eV/atom
N(E_F)	3.67	states/eV/f.u.
mass density	11.8	g/cm³
spin magnetization	0.001	μB/cell

***

Entry 2:
Density functional theory data (PBE) for a relaxed PmHf2CrN4 crystal.

extended XYZ file:
```
16
Lattice="3.2455 0.0000 0.0000 -1.6228 5.5576 0.0000 0.0000 0.0000 11.0379" Properties=species:S:1:pos:R:3 pbc="T T T"
Cr 0.0000 1.8062 2.7595
Hf 0.0000 4.0928 10.5292
Hf 1.6228 1.4648 0.5087
N 0.0000 0.0000 5.5189
N 1.6228 2.6197 6.7860
Hf 0.0000 4.0928 6.0276
N 0.0000 2.9379 1.2671
Hf 1.6228 1.4648 5.0103
N 1.6228 2.6197 9.7708
Cr 1.6228 3.7515 8.2784
N 0.0000 0.0000 0.0000
N 0.0000 2.9379 4.2518
N 1.6228 0.7591 2.7595
Pm 1.6228 4.4530 2.7595
Pm 0.0000 1.1047 8.2784
N 0.0000 4.7985 8.2784
```

Results
total energy	-9.80	eV/atom
E_form (uncorrected)	-1.3527	eV/atom
N(E_F)	3.95	states/eV/f.u.
mass density	10.2	g/cm³
spin magnetization	0.529	μB/cell

***

Entry 3:
Density functional theory data (PBE) for a relaxed PrHf2CrN4 crystal.

extended XYZ file:
```
16
Lattice="-1.7266 0.1709 -2.7697 4.9333 -2.8091 -1.3204 -4.8455 -9.6496 2.4253" Properties=species:S:1:pos:R:3 pbc="T T T"
N -1.9040 -7.1231 -1.1808
Cr 0.1324 -3.3117 -0.2869
N 0.0000 0.0000 0.0000
N 0.2652 -5.1647 -0.4840
N -3.2301 -9.7640 -0.5171
Hf 0.3510 -7.2723 -0.6675
N -2.4227 -4.8248 1.2127
Hf -1.6273 -11.2119 0.3227
Pr -2.8472 -7.7638 1.2959
Hf -0.0115 -1.0758 -1.9875
N -0.1662 -9.5579 -0.4861
Pr 1.2083 -4.5240 -2.9607
Hf -1.9898 -5.0155 -0.9973
N 1.5913 -2.5238 -1.1478
N -1.4726 -2.7299 -1.1787
Cr -1.7712 -8.9761 -1.3779
```

Results
total energy	-9.78	eV/atom
E_form (uncorrected)	-1.3331	eV/atom
N(E_F)	3.83	states/eV/f.u.
mass density	9.9	g/cm³
spin magnetization	0.373	μB/cell

***

Look up the N(E_F) of the second one. 3.95 states/eV/f.u.

***

Which formula does entry 2 have? PmHf2CrN4